Record 1
The following is a DFT calculation (PBE) of an optimized crystal structure of Mo2RuRh.

Cell lengths 4.8042, 4.8019, 3.8956 Å; angles 66.11, 66.04, 47.85 degrees
With the nearest neighbours (Å) after each atom.
Positions (direct):
Mo 0.0000 0.0000 0.0000  4 Rh 2.75-2.76, 4 Mo 2.77, 4 Ru 2.77
Mo 0.2500 0.2500 0.2500  4 Ru 2.75-2.76, 4 Mo 2.77, 4 Rh 2.77
Ru 0.7500 0.7500 0.7500  8 Mo 2.75-2.77, 4 Rh 2.77
Rh 0.5000 0.5000 0.5000  8 Mo 2.75-2.77, 4 Ru 2.77

Summary:
Energy of formation = 0.00 eV/atom
DOS(E_F) = 3.54 states/eV/f.u.
ΔE to the lowest computed polymorph = 79 meV per atom
Total magnetic moment = 0.00 μB per atom
ρ = 11.0 g/cm³


Record 2
The following is a DFT calculation (PBE) of an optimized crystal structure of CeSbRhO6.

Cell lengths 4.9243, 4.9243, 9.7253 Å; angles 90.00, 90.00, 90.00 degrees
With the nearest neighbours (Å) after each atom.
Positions (direct):
Ce 0.0000 0.0000 0.0000  6 O 2.20-2.27
Ce 0.5000 0.5000 0.5000  6 O 2.20-2.27
Sb 0.0000 0.0000 0.6627  6 O 2.03-2.04
Sb 0.5000 0.5000 0.1627  6 O 2.03-2.04
Rh 0.0000 0.0000 0.3262  6 O 2.06-2.10
Rh 0.5000 0.5000 0.8262  6 O 2.06-2.10
O 0.1772 0.1772 0.4956  1 Sb 2.04, 1 Rh 2.06, 1 Ce 2.25
O 0.1995 0.1995 0.8156  1 Sb 2.03, 1 Rh 2.09, 1 Ce 2.27
O 0.2085 0.2085 0.1703  1 Sb 2.03, 1 Rh 2.10, 1 Ce 2.20
O 0.2915 0.7085 0.6703  1 Sb 2.03, 1 Rh 2.10, 1 Ce 2.20
O 0.3005 0.6995 0.3156  1 Sb 2.03, 1 Rh 2.09, 1 Ce 2.27
O 0.3228 0.6772 0.9956  1 Sb 2.04, 1 Rh 2.06, 1 Ce 2.25
O 0.6772 0.3228 0.9956  1 Sb 2.04, 1 Rh 2.06, 1 Ce 2.25
O 0.6995 0.3005 0.3156  1 Sb 2.03, 1 Rh 2.09, 1 Ce 2.27
O 0.7085 0.2915 0.6703  1 Sb 2.03, 1 Rh 2.10, 1 Ce 2.20
O 0.7915 0.7915 0.1703  1 Sb 2.03, 1 Rh 2.10, 1 Ce 2.20
O 0.8005 0.8005 0.8156  1 Sb 2.03, 1 Rh 2.09, 1 Ce 2.27
O 0.8228 0.8228 0.4956  1 Sb 2.04, 1 Rh 2.06, 1 Ce 2.25

Summary:
Total magnetic moment = 0.00 μB per atom
Formation energy without anion corrections = -1.797 eV/atom
ρ = 6.5 g/cm³


Record 3
The following is a DFT calculation (PBE) of an optimized crystal structure of ZnB2PC.

Cell lengths 3.6921, 3.6921, 4.9131 Å; angles 90.00, 90.00, 90.00 degrees
With the nearest neighbours (Å) after each atom.
Positions (direct):
Zn 0.0000 0.0000 0.0000  2 P 2.46, 4 C 2.61
B 0.0000 0.5000 0.5000  2 P 1.85
B 0.5000 0.0000 0.5000  2 P 1.85
P 0.0000 0.0000 0.5000  4 B 1.85
C 0.5000 0.5000 0.0000  4 Zn 2.61

Summary:
Energy of formation = 2.12 eV/atom
DOS(E_F) = 1.91 states/eV/f.u.
Total magnetic moment = 0.15 μB per atom
ρ = 3.2 g/cm³